No. 1
The following is a PBE calculation of crystalline FeGeP6 at its relaxed geometry, from Alexandria.

## Properties
Its density of states at the Fermi level is 0.158 states/eV/atom. The calculation puts the formation energy at -152 meV per atom. Its space-group type is C2/m.

a = 7.016 Å, b = 7.016 Å, c = 6.928 Å
α = 109.25°, β = 109.62°, γ = 110.05°
Sites, in units of the cell vectors:
P 0.503 0.885 0.664
P 0.221 0.840 0.336
P 0.854 0.343 0.197
P 0.128 0.371 0.499
P 0.379 0.222 0.887
P 0.497 0.115 0.336
Ge 0.000 0.000 0.500
P 0.335 0.493 0.113
P 0.665 0.507 0.887
P 0.872 0.629 0.501
P 0.779 0.160 0.664
Fe 0.000 0.500 0.000
P 0.621 0.778 0.113
P 0.146 0.657 0.803
Ge 0.500 0.500 0.500
Fe 0.500 0.000 0.000

=====

No. 2
The following is a PBE calculation of crystalline TaTcB at its relaxed geometry, from Alexandria.

## Properties
Its density of states at the Fermi level is 0.496 states/eV/atom. The calculation puts the formation energy at -622 meV per atom. The excess energy over the best structure of this formula in the dataset comes out at 0.00 eV/f.u. Its space-group type is Pmma.

a = 3.169 Å, b = 6.447 Å, c = 11.051 Å
α = 90.00°, β = 90.00°, γ = 90.00°
Sites, in units of the cell vectors:
B 0.500 0.947 0.914
B 0.500 0.947 0.586
Tc 0.500 0.423 0.377
Tc 0.500 0.423 0.123
B 0.500 0.053 0.086
B 0.000 0.452 0.750
Ta 0.000 0.771 0.454
B 0.500 0.053 0.414
Tc 0.500 0.802 0.250
B 0.000 0.548 0.250
Tc 0.500 0.577 0.623
Ta 0.000 0.771 0.046
Ta 0.000 0.146 0.250
Ta 0.000 0.229 0.546
Ta 0.000 0.229 0.954
Tc 0.500 0.577 0.877
Tc 0.500 0.198 0.750
Ta 0.000 0.854 0.750

=====

No. 3
The following is a PBE calculation of crystalline Cs3Pm2SnS6 at its relaxed geometry, from Alexandria.

## Properties
Its density of states at the Fermi level is 0.453 states/eV/atom. Its formation energy (no corrections) is -1.421 eV/atom. Its space-group type is C2/m.

a = 7.268 Å, b = 7.268 Å, c = 8.410 Å
α = 98.28°, β = 98.28°, γ = 120.01°
Sites, in units of the cell vectors:
S 0.733 0.733 0.184
Cs 0.500 0.500 0.500
S 0.389 0.061 0.184
Cs 0.167 0.833 0.500
S 0.061 0.389 0.184
Sn 0.000 0.000 0.000
S 0.267 0.267 0.816
Pm 0.333 0.667 0.000
Pm 0.667 0.333 0.000
S 0.611 0.939 0.816
Cs 0.833 0.167 0.500
S 0.939 0.611 0.816

=====

No. 4
The following is a PBE calculation of crystalline Ca2TaSe4 at its relaxed geometry, from Alexandria.

## Properties
Its density of states at the Fermi level is 0.358 states/eV/atom. Its formation energy (no corrections) is -1.150 eV/atom. Its space-group type is I4/mmm.

a = 5.005 Å, b = 5.005 Å, c = 8.281 Å
α = 72.41°, β = 72.41°, γ = 90.00°
Sites, in units of the cell vectors:
Se 0.825 0.825 0.350
Se 0.500 0.000 0.000
Se 0.175 0.175 0.650
Ca 0.638 0.638 0.725
Ca 0.362 0.362 0.275
Ta 0.000 0.000 0.000
Se 0.000 0.500 0.000

=====

No. 5
The following is a PBE calculation of crystalline Zr3Mn5 at its relaxed geometry, from Alexandria.

## Properties
Its density of states at the Fermi level is 1.023 states/eV/atom. The calculation puts the formation energy at 244 meV per atom. Its space-group type is P1.

a = 5.202 Å, b = 7.492 Å, c = 7.481 Å
α = 96.83°, β = 110.33°, γ = 69.71°
Site moments in Bohr magnetons follow the coordinates.
Sites, in units of the cell vectors:
Mn 0.556 0.227 0.341  1.43
Mn 0.215 0.341 0.774  -1.44
Mn 0.282 0.774 0.341  1.47
Mn 0.056 0.660 0.774  -1.52
Mn 0.260 0.500 0.500  -1.85
Zr 0.693 0.498 0.887  0.11
Mn 0.942 0.341 0.228  -1.43
Mn 0.782 0.659 0.226  -1.49
Zr 0.305 0.500 0.114  0.11
Mn 0.760 0.500 0.500  1.87
Zr 0.252 0.001 0.001  0.00
Zr 0.192 0.113 0.501  -0.11
Zr 0.804 0.887 0.499  -0.11
Zr 0.752 0.001 0.000  0.00
Mn 0.714 0.226 0.659  1.43
Mn 0.442 0.773 0.660  1.49

=====

No. 6
The following is a PBE calculation of crystalline Tl3Ge2F7 at its relaxed geometry, from Alexandria.

## Properties
Its density of states at the Fermi level is 0.000 states/eV/atom. Its formation energy (no corrections) is -1.894 eV/atom. Its space-group type is P2/m.

a = 4.212 Å, b = 4.436 Å, c = 14.826 Å
α = 111.27°, β = 90.00°, γ = 90.00°
Sites, in units of the cell vectors:
Ge 0.500 0.415 0.228
Ge 0.500 0.585 0.772
F 0.500 0.645 0.368
F 0.000 0.553 0.740
F 0.500 0.355 0.632
F 0.500 0.023 0.256
Tl 0.000 0.899 0.615
F 0.000 0.000 0.000
Tl 0.000 0.101 0.385
F 0.500 0.977 0.744
F 0.000 0.447 0.260
Tl 0.500 0.500 0.000

=====

No. 7
The following is a PBE calculation of crystalline AsSe3 at its relaxed geometry, from Alexandria.

## Properties
Its density of states at the Fermi level is 0.592 states/eV/atom. The excess energy over the best structure of this formula in the dataset comes out at 0.68 eV/f.u. Its formation energy (no corrections) is 0.240 eV/atom. Its space-group type is C2/m.

a = 6.597 Å, b = 6.597 Å, c = 5.021 Å
α = 73.80°, β = 73.80°, γ = 30.64°
Sites, in units of the cell vectors:
Se 0.345 0.345 0.254
As 0.000 0.000 0.000
Se 0.500 0.500 0.500
Se 0.655 0.655 0.746

=====

No. 8
The following is a PBE calculation of crystalline CePr2Tm6 at its relaxed geometry, from Alexandria.

## Properties
Its density of states at the Fermi level is 1.710 states/eV/atom. The calculation puts the formation energy at 133 meV per atom. The excess energy over the best structure of this formula in the dataset comes out at 0.25 eV/f.u. Its space-group type is C2/c.

a = 6.541 Å, b = 9.451 Å, c = 9.451 Å
α = 94.45°, β = 82.58°, γ = 82.58°
Site moments in Bohr magnetons follow the coordinates.
Sites, in units of the cell vectors:
Tm 0.741 0.052 0.457  0.01
Tm 0.503 0.334 0.722  0.01
Tm 0.259 0.948 0.543  0.01
Tm 0.687 0.217 0.046  0.07
Tm 0.813 0.954 0.783  0.07
Tm 0.497 0.666 0.278  0.01
Pr 0.873 0.388 0.328  0.00
Tm 0.003 0.722 0.334  0.01
Pr 0.627 0.672 0.612  0.00
Tm 0.241 0.457 0.052  0.01
Tm 0.997 0.278 0.666  0.01
Tm 0.313 0.783 0.954  0.07
Tm 0.759 0.543 0.948  0.01
Tm 0.187 0.046 0.217  0.07
Pr 0.127 0.612 0.672  0.00
Ce 0.250 0.118 0.882  0.72
Ce 0.750 0.882 0.118  0.72
Pr 0.373 0.328 0.388  0.00

=====

No. 9
The following is a PBE calculation of crystalline ZrNbTcNi at its relaxed geometry, from Alexandria.

## Properties
Its density of states at the Fermi level is 0.819 states/eV/atom. The calculation puts the formation energy at -247 meV per atom. Its space-group type is F-43m.

a = 4.532 Å, b = 4.532 Å, c = 4.532 Å
α = 60.00°, β = 60.00°, γ = 60.00°
Sites, in units of the cell vectors:
Ni 0.000 0.000 0.000
Nb 0.250 0.250 0.250
Tc 0.500 0.500 0.500
Zr 0.750 0.750 0.750

=====

No. 10
The following is a PBE calculation of crystalline RbMn2Au2 at its relaxed geometry, from Alexandria.

## Properties
Its density of states at the Fermi level is 1.065 states/eV/atom. The calculation puts the formation energy at 586 meV per atom. The excess energy over the best structure of this formula in the dataset comes out at 1.66 eV/f.u. Its space-group type is I4/mmm.

a = 3.204 Å, b = 3.204 Å, c = 10.143 Å
α = 80.91°, β = 80.91°, γ = 90.00°
Sites, in units of the cell vectors:
Mn 0.750 0.250 0.500
Au 0.361 0.361 0.278
Rb 0.000 0.000 0.000
Au 0.639 0.639 0.722
Mn 0.250 0.750 0.500

=====

No. 11
The following is a PBE calculation of crystalline Pr2AgH2 at its relaxed geometry, from Alexandria.

## Properties
Its density of states at the Fermi level is 0.570 states/eV/atom. Its space-group type is P4/mmm. The total energy is -4.0957 eV per atom.

a = 3.656 Å, b = 3.656 Å, c = 7.266 Å
α = 90.00°, β = 90.00°, γ = 90.00°
Sites, in units of the cell vectors:
Pr 0.500 0.500 0.728
Ag 0.000 0.000 0.000
H 0.500 0.000 0.500
H 0.000 0.500 0.500
Pr 0.500 0.500 0.272

=====

No. 12
The following is a PBE calculation of crystalline Zr2Zn2Co15 at its relaxed geometry, from Alexandria.

## Properties
Its density of states at the Fermi level is 1.024 states/eV/atom. The calculation puts the formation energy at -87 meV per atom. Its space-group type is R-3m.

a = 6.217 Å, b = 6.217 Å, c = 6.217 Å
α = 83.16°, β = 83.16°, γ = 83.16°
Site moments in Bohr magnetons follow the coordinates.
Sites, in units of the cell vectors:
Co 0.154 0.644 0.644  1.30
Co 0.644 0.154 0.644  1.30
Co 0.644 0.644 0.154  1.30
Co 0.000 0.000 0.500  1.41
Co 0.000 0.707 0.293  1.44
Zn 0.895 0.895 0.895  -0.06
Zr 0.352 0.352 0.352  -0.36
Co 0.000 0.293 0.707  1.44
Co 0.293 0.000 0.707  1.44
Co 0.356 0.356 0.846  1.30
Co 0.356 0.846 0.356  1.30
Zr 0.648 0.648 0.648  -0.36
Co 0.707 0.293 0.000  1.44
Co 0.293 0.707 0.000  1.44
Co 0.707 0.000 0.293  1.44
Co 0.846 0.356 0.356  1.30
Zn 0.105 0.105 0.105  -0.06
Co 0.000 0.500 0.000  1.41
Co 0.500 0.000 0.000  1.41

=====

No. 13
The following is a PBE calculation of crystalline RbTiI2N at its relaxed geometry, from Alexandria.

## Properties
Its density of states at the Fermi level is 2.119 states/eV/atom. The excess energy over the best structure of this formula in the dataset comes out at 10.80 eV/f.u. Its formation energy (no corrections) is 1.489 eV/atom. Its space-group type is P4/mmm.

a = 6.442 Å, b = 6.442 Å, c = 4.413 Å
α = 90.00°, β = 90.00°, γ = 90.00°
Site moments in Bohr magnetons follow the coordinates.
Sites, in units of the cell vectors:
I 0.000 0.500 0.000  -0.02
N 0.000 0.000 0.500  0.00
Ti 0.500 0.500 0.500  0.41
I 0.500 0.000 0.000  -0.02
Rb 0.000 0.000 0.000  0.00

=====

No. 14
The following is a PBE calculation of crystalline Nd2ThCd at its relaxed geometry, from Alexandria.

## Properties
Its density of states at the Fermi level is 1.269 states/eV/atom. The calculation puts the formation energy at 152 meV per atom. The excess energy over the best structure of this formula in the dataset comes out at 1.25 eV/f.u. Its space-group type is R-3m.

a = 3.566 Å, b = 3.566 Å, c = 12.492 Å
α = 81.79°, β = 81.79°, γ = 60.00°
Sites, in units of the cell vectors:
Th 0.500 0.500 0.500
Nd 0.911 0.911 0.268
Cd 0.000 0.000 0.000
Nd 0.089 0.089 0.732

=====

No. 15
The following is a PBE calculation of crystalline Zr2RuPt at its relaxed geometry, from Alexandria.

## Properties
Its density of states at the Fermi level is 1.588 states/eV/atom. The calculation puts the formation energy at -386 meV per atom. Its space-group type is F-43m.

a = 4.643 Å, b = 4.643 Å, c = 4.643 Å
α = 60.00°, β = 60.00°, γ = 60.00°
Sites, in units of the cell vectors:
Pt 0.500 0.500 0.500
Zr 0.000 0.000 0.000
Ru 0.250 0.250 0.250
Zr 0.750 0.750 0.750

=====

No. 16
The following is a PBE calculation of crystalline HfScFe2 at its relaxed geometry, from Alexandria.

## Properties
Its density of states at the Fermi level is 1.200 states/eV/atom. The calculation puts the formation energy at -201 meV per atom. Its space-group type is P4/mmm.

a = 3.128 Å, b = 3.128 Å, c = 6.259 Å
α = 90.00°, β = 90.00°, γ = 90.00°
Site moments in Bohr magnetons follow the coordinates.
Sites, in units of the cell vectors:
Fe 0.000 0.000 0.242  0.35
Fe 0.000 0.000 0.758  0.35
Hf 0.500 0.500 0.000  -0.10
Sc 0.500 0.500 0.500  -0.09

=====

No. 17
The following is a PBE calculation of crystalline TaSbPb2 at its relaxed geometry, from Alexandria.

## Properties
Its density of states at the Fermi level is 0.814 states/eV/atom. Its formation energy (no corrections) is 0.322 eV/atom. Its space-group type is Immm.

a = 7.799 Å, b = 7.799 Å, c = 4.713 Å
α = 72.43°, β = 72.43°, γ = 23.92°
Sites, in units of the cell vectors:
Sb 0.750 0.750 0.750
Ta 0.250 0.250 0.250
Pb 0.936 0.936 0.063
Pb 0.564 0.564 0.437

=====

No. 18
The following is a PBE calculation of crystalline CdNi2AgMo at its relaxed geometry, from Alexandria.

## Properties
Its density of states at the Fermi level is 1.022 states/eV/atom. The calculation puts the formation energy at 1258 meV per atom. Its space-group type is P4/mmm.

a = 4.480 Å, b = 5.299 Å, c = 4.480 Å
α = 90.00°, β = 90.00°, γ = 90.00°
Sites, in units of the cell vectors:
Ag 0.500 0.500 0.500
Ni 0.000 0.000 0.500
Cd 0.000 0.500 0.000
Mo 0.000 0.000 0.000
Ni 0.500 0.000 0.000

=====

No. 19
The following is a PBE calculation of crystalline Ce2CoNi at its relaxed geometry, from Alexandria.

## Properties
Its density of states at the Fermi level is 1.806 states/eV/atom. The calculation puts the formation energy at -107 meV per atom. The excess energy over the best structure of this formula in the dataset comes out at 0.64 eV/f.u. Its space-group type is Cm.

a = 3.656 Å, b = 4.274 Å, c = 5.924 Å
α = 68.73°, β = 72.02°, γ = 64.68°
Sites, in units of the cell vectors:
Co 0.135 0.841 0.888
Ce 0.707 0.443 0.143
Ce 0.887 0.720 0.506
Ni 0.481 0.257 0.780

=====

| no. | total magnetization (μB/atom) |
| --- | --- |
| 1 | 0.00 |
| 2 | 0.00 |
| 3 | 0.00 |
| 4 | 0.00 |
| 5 | 0.00 |
| 6 | 0.00 |
| 7 | 0.00 |
| 8 | 0.11 |
| 9 | 0.00 |
| 10 | 0.00 |
| 11 | 0.00 |
| 12 | 1.01 |
| 13 | 0.08 |
| 14 | 0.00 |
| 15 | 0.00 |
| 16 | 0.12 |
| 17 | 0.00 |
| 18 | 0.00 |
| 19 | 0.00 |